# 1
# YCrSnRu2

Crystalline YCrSnRu2 at its relaxed geometry (PBE-GGA, Alexandria).

The density of states at the Fermi level comes out at 4.40 states/eV/cell. For the spin magnetization, the calculation gives 4.17 μB/cell. For the final energy, the calculation gives -6.797 eV/atom. The calculation puts the theoretical density at 6.63 g/cm3. Its formation energy is 4.7 eV/f.u.

Unit cell a=4.895 b=4.827 c=4.895 alpha=90.00 beta=90.00 gamma=90.00
Last column: magnetic moment on the atom in μB.
Atoms (fractional coordinates):
Sn (0.000, 0.000, 0.000)  -0.01
Cr (0.000, 0.500, 0.000)  3.64
Y (0.500, 0.500, 0.500)  0.06
Ru (0.000, 0.000, 0.500)  0.04
Ru (0.500, 0.000, 0.000)  -0.03


# 2
# TaTlP2

Crystalline TaTlP2 at its relaxed geometry (PBE-GGA, Alexandria).

The density of states at the Fermi level comes out at 3.41 states/eV/cell. For the spin magnetization, the calculation gives 0.03 μB/cell. For the final energy, the calculation gives -5.399 eV/atom. The calculation puts the theoretical density at 10.11 g/cm3. Its formation energy is 3.4 eV/f.u.

Unit cell a=4.702 b=4.702 c=4.702 alpha=60.00 beta=60.00 gamma=60.00
Atoms (fractional coordinates):
Tl (0.750, 0.750, 0.750)
P (0.250, 0.250, 0.250)
P (0.000, 0.000, 0.000)
Ta (0.500, 0.500, 0.500)


# 3
# NpCdGaHg

Crystalline NpCdGaHg at its relaxed geometry (PBE-GGA, Alexandria).

The density of states at the Fermi level comes out at 8.73 states/eV/cell. For the spin magnetization, the calculation gives 4.24 μB/cell. For the final energy, the calculation gives -4.234 eV/atom. The calculation puts the theoretical density at 11.35 g/cm3. Its formation energy is 0.2 eV/f.u.

Unit cell a=5.043 b=5.043 c=5.043 alpha=60.00 beta=60.00 gamma=60.00
Last column: magnetic moment on the atom in μB.
Atoms (fractional coordinates):
Ga (0.500, 0.500, 0.500)  0.02
Np (0.250, 0.250, 0.250)  3.99
Hg (0.000, 0.000, 0.000)  0.02
Cd (0.750, 0.750, 0.750)  -0.01